# LaNdEuHo | Alexandria via LeMat-Bulk | PBE | relaxed
# - Total moment: 1.93 μB/atom
# - ΔH_f (0 K): 0.123 eV/atom
# - Calculated volume: 35.9 Å³ per atom
data_LaNdEuHo
_space_group_name_H-M_alt 'F -4 3 m'
_space_group_IT_number 216
_space_group_name_Hall 'F -4 2 3'
_cell_length_a 8.316
_cell_length_b 8.316
_cell_length_c 8.316
_cell_angle_alpha 90.00
_cell_angle_beta 90.00
_cell_angle_gamma 90.00
loop_
_atom_site_label
_atom_site_fract_x
_atom_site_fract_y
_atom_site_fract_z
_atom_site_occupancy
La1 0.000 0.000 0.000 1
Nd1 0.000 0.000 0.500 1
Eu1 0.250 0.250 0.750 1
Ho1 0.250 0.250 0.250 1